# CaNb3O7 | the Alexandria database | PBE-GGA | relaxed
# Raw formation energy, meV/atom: -2399
# Size of the total moment, μB/cell: 0.003
data_CaNb3O7
_chemical_formula_sum 'Ca2 Nb6 O14'
_cell_length_a 6.400
_cell_length_b 7.777
_cell_length_c 5.054
_cell_angle_alpha 90.00
_cell_angle_beta 104.48
_cell_angle_gamma 90.00
_space_group_name_H-M_alt 'C 1 m 1'
_space_group_IT_number 8
loop_
_space_group_symop_operation_xyz
'x,y,z'
'x,-y,z'
'x+1/2,y+1/2,z'
'x+1/2,-y+1/2,z'
loop_
_atom_site_label
_atom_site_fract_x
_atom_site_fract_y
_atom_site_fract_z
_atom_site_occupancy
Ca1 0.000 0.000 0.000 1
Nb1 0.034 0.500 0.036 1
Nb2 0.328 0.229 0.519 1
O1 0.028 0.252 0.231 1
O2 0.156 0.330 0.789 1
O3 0.246 0.000 0.736 1
O4 0.314 0.500 0.404 1
O5 0.333 0.000 0.308 1